V6O7F5: relaxed, GGA+U.

Output
The spin magnetization comes out at 11.00 μB per formula unit. The energy above the most stable polymorph in this dataset comes out at 10.3 meV per atom.

a = 4.7630 Å, b = 5.5998 Å, c = 7.7872 Å
α = 85.13°, β = 89.22°, γ = 87.21°
Last column: nearest neighbours and their distance in Å.
Sites, in units of the cell vectors:
V 0.0000 0.0000 0.0000  3 O 1.88-2.04, 3 F 2.06-2.07
V 0.0032 0.3074 0.6590  3 O 1.92-2.07, 3 F 2.05-2.09
V 0.0344 0.6600 0.3237  3 O 1.94-1.98, 3 F 2.05-2.14
V 0.4864 0.1345 0.3168  5 O 1.93-2.12
V 0.5191 0.4785 0.9987  3 O 1.90-2.10, 3 F 2.06-2.09
V 0.5654 0.8416 0.6501  4 O 1.87-1.92
O 0.2085 0.9473 0.2194  3 V 1.93-1.98
O 0.3152 0.4531 0.2203  3 V 1.94-2.01
O 0.3235 0.1005 0.5723  2 V 1.87-2.01
O 0.7039 0.5429 0.7540  3 V 1.89-2.10
O 0.7049 0.1873 0.0896  3 V 1.88-2.05
O 0.7238 0.8496 0.4279  3 V 1.88-2.05
O 0.8258 0.0285 0.7601  3 V 1.92-2.04
F 0.2041 0.2952 0.8938  3 V 2.06-2.07
F 0.2197 0.6058 0.5612  2 V 2.05-2.09
F 0.3190 0.7949 0.8917  3 V 2.07-2.21
F 0.8178 0.6874 0.0920  3 V 2.06-2.08
F 0.8190 0.3496 0.4214  3 V 2.05-2.24